MgTiAg2Ge: optimized geometry, PBE-GGA.

Structure (POSCAR):
```
MgTiAg2Ge
1.0
4.9820 0.0000 0.0000
0.0000 5.2836 0.0000
0.0000 0.0000 4.9820
Ge Mg Ag Ti
1 1 2 1
direct
0.5000 0.5000 0.5000
0.0000 0.5000 0.0000
0.0000 0.0000 0.5000
0.5000 0.0000 0.0000
0.0000 0.0000 0.0000
```

Computed properties:
**Magnetization**: 1.97 μB per formula unit
**Space group**: P4/mmm, No. 123
**DFT formation energy**: 1.12 eV per atom
**Density of states at the Fermi level**: 1.0931 states/eV/atom

MgTlAgGe: optimized geometry, PBE-GGA.

Structure (POSCAR):
```
MgTlAgGe
1.0
-0.4864 -1.6958 4.6330
-1.4316 -4.6803 0.7890
3.2300 -3.3137 1.7787
Mg Tl Ge Ag
1 1 1 1
direct
0.7500 0.7500 0.7500
0.5000 0.5000 0.5000
0.0000 0.0000 0.0000
0.2500 0.2500 0.2500
```

Computed properties:
**Magnetization**: 0.00 μB per formula unit
**Space group**: F-43m, No. 216
**DFT formation energy**: 0.10 eV per atom
**Density of states at the Fermi level**: 0.5660 states/eV/atom

TmMgAgGe: optimized geometry, PBE-GGA.

Structure (POSCAR):
```
TmMgAgGe
1.0
-1.9355 4.1681 1.6427
-4.7817 0.8356 -0.5046
-2.9105 -0.0382 3.9172
Ge Tm Mg Ag
1 1 1 1
direct
0.2500 0.2500 0.2500
0.0000 0.0000 0.0000
0.5000 0.5000 0.5000
0.7500 0.7500 0.7500
```

Computed properties:
**Magnetization**: 0.00 μB per formula unit
**Space group**: F-43m, No. 216
**DFT formation energy**: -0.41 eV per atom
**Density of states at the Fermi level**: 0.2646 states/eV/atom

Mn2AgGe2: optimized geometry, PBE-GGA.

Structure (POSCAR):
```
Mn2AgGe2
1.0
-1.3225 3.6919 -0.6556
-2.2207 -0.2111 3.2913
2.1927 3.6573 4.1157
Ge Mn Ag
2 2 1
direct
0.3814 0.3814 0.2371
0.6186 0.6186 0.7629
0.7500 0.2500 0.5000
0.2500 0.7500 0.5000
0.0000 0.0000 0.0000
```

Computed properties:
**Magnetization**: 4.64 μB per formula unit
**Space group**: I4/mmm, No. 139
**DFT formation energy**: 0.20 eV per atom
**Distance to the lowest polymorph of the same formula**: 0.616 eV per formula unit
**Density of states at the Fermi level**: 0.5432 states/eV/atom

MnAg3Ge: optimized geometry, PBE-GGA.

Structure (POSCAR):
```
MnAg3Ge
1.0
4.9218 0.0000 0.0000
0.0000 4.9218 0.0000
0.0000 0.0000 4.9218
Ge Mn Ag
1 1 3
direct
0.5000 0.5000 0.5000
0.0000 0.0000 0.0000
0.0000 0.5000 0.0000
0.0000 0.0000 0.5000
0.5000 0.0000 0.0000
```

Computed properties:
**Magnetization**: 4.36 μB per formula unit
**Space group**: Pm-3m, No. 221
**DFT formation energy**: 0.99 eV per atom
**Distance to the lowest polymorph of the same formula**: 1.427 eV per formula unit
**Density of states at the Fermi level**: 0.7494 states/eV/atom

MnAg3Ge: optimized geometry, PBE-GGA.

Structure (POSCAR):
```
MnAg3Ge
1.0
4.8518 0.0000 0.0000
0.0000 4.8518 0.0000
0.0000 0.0000 4.8518
Ge Mn Ag
1 1 3
direct
0.0000 0.0000 0.0000
0.5000 0.5000 0.5000
0.0000 0.5000 0.0000
0.0000 0.0000 0.5000
0.5000 0.0000 0.0000
```

Computed properties:
**Magnetization**: 4.83 μB per formula unit
**Space group**: Pm-3m, No. 221
**DFT formation energy**: 0.70 eV per atom
**Distance to the lowest polymorph of the same formula**: 0.000 eV per formula unit
**Density of states at the Fermi level**: 0.4629 states/eV/atom

MnAg2Ge2: optimized geometry, PBE-GGA.

Structure (POSCAR):
```
MnAg2Ge2
1.0
3.7573 0.0000 0.0000
0.0000 3.7573 0.0000
1.8787 1.8787 6.8309
Ge Mn Ag
2 1 2
direct
0.7500 0.2500 0.5000
0.2500 0.7500 0.5000
0.0000 0.0000 0.0000
0.4022 0.4022 0.1956
0.5978 0.5978 0.8044
```

Computed properties:
**Magnetization**: 4.48 μB per formula unit
**Space group**: I4/mmm, No. 139
**DFT formation energy**: 0.38 eV per atom
**Density of states at the Fermi level**: 0.3684 states/eV/atom

Mn2AgGe2: optimized geometry, PBE-GGA.

Structure (POSCAR):
```
Mn2AgGe2
1.0
-5.4890 -4.8066 0.3841
1.8330 -2.6181 -6.5701
1.6851 -1.8285 1.1988
Ge Mn Ag
4 4 2
direct
0.3372 0.8372 0.0000
0.8372 0.6628 0.0000
0.6628 0.1628 0.0000
0.1628 0.3372 0.0000
0.1310 0.6310 0.5000
0.6310 0.8690 0.5000
0.8690 0.3690 0.5000
0.3690 0.1310 0.5000
0.0000 0.0000 0.0000
0.5000 0.5000 0.0000
```

Computed properties:
**Magnetization**: 4.36 μB per formula unit
**Space group**: P4/mbm, No. 127
**DFT formation energy**: 0.07 eV per atom
**Distance to the lowest polymorph of the same formula**: 0.000 eV per formula unit
**Density of states at the Fermi level**: 0.5520 states/eV/atom